TmV2W: relaxed, PBE.

Structure (extended XYZ):
```
4
Lattice="3.203 0.000 0.000 0.000 3.203 0.000 0.000 0.000 6.888" Properties=species:S:1:pos:R:3 pbc="T T T"
Tm 0.000 0.000 0.000
V 1.602 1.602 2.079
V 1.602 1.602 4.809
W 0.000 0.000 3.444
```

Output
- E_form (eV/atom) = 0.2400
- E_tot (eV/atom) = -8.68



TmV2W: relaxed, PBE.

Structure (extended XYZ):
```
12
Lattice="3.070 0.000 0.000 -1.535 2.658 0.000 0.000 0.000 26.333" Properties=species:S:1:pos:R:3 pbc="T T T"
Tm 0.000 0.000 0.000
Tm 0.000 1.772 17.555
Tm 1.535 0.886 8.778
V 0.000 0.000 6.255
V 0.000 0.000 20.078
V 0.000 1.772 11.300
V 0.000 1.772 23.810
V 1.535 0.886 2.523
V 1.535 0.886 15.033
W 0.000 0.000 13.166
W 0.000 1.772 4.389
W 1.535 0.886 21.944
```

Output
- E_form (eV/atom) = 0.4849
- E_tot (eV/atom) = -8.43



TmVW: relaxed, PBE.

Structure (extended XYZ):
```
12
Lattice="5.394 0.000 0.000 0.000 5.524 0.000 0.000 0.000 7.636" Properties=species:S:1:pos:R:3 pbc="T T T"
Tm 0.000 1.381 0.950
Tm 0.000 4.143 6.686
Tm 2.697 1.381 2.868
Tm 2.697 4.143 4.768
V 0.000 0.000 3.818
V 0.000 2.762 3.818
V 2.697 0.000 0.000
V 2.697 2.762 0.000
W 1.348 1.381 5.727
W 1.348 4.143 1.909
W 4.045 1.381 5.727
W 4.045 4.143 1.909
```

Output
- E_form (eV/atom) = 0.1839
- E_tot (eV/atom) = -8.66



TmV4W: relaxed, PBE.

Structure (extended XYZ):
```
6
Lattice="0.000 3.622 3.622 3.622 0.000 3.622 3.622 3.622 0.000" Properties=species:S:1:pos:R:3 pbc="T T T"
Tm 0.000 0.000 0.000
V 4.529 2.715 2.715
V 2.715 4.529 2.715
V 2.715 2.715 4.529
V 4.529 4.529 4.529
W 1.811 1.811 1.811
```

Output
- E_form (eV/atom) = 0.2123
- E_tot (eV/atom) = -8.77